Entry 1:
LiFeCo: optimized geometry, PBE.

Computed properties:
- DFT formation energy (eV/atom) = 0.13

Cell lengths 2.4252, 6.2449, 4.8157 Å; angles 96.11, 99.07, 102.25 degrees
With the nearest neighbours (Å) after each atom.
Atoms (fractional coordinates):
Co (0.7101, 0.3409, 0.4945)  3 Fe 2.42-2.70, 3 Co 2.43-2.44, 3 Li 2.46-2.62
Li (0.2156, 0.3482, 0.0090)  4 Li 2.43-2.63, 3 Co 2.44-2.58, 2 Fe 2.48-2.66
Fe (0.2688, 0.6931, 0.3949)  2 Co 2.38-2.46, 3 Fe 2.43-2.46, 3 Li 2.46-2.66
Li (0.7915, 0.6848, 0.8724)  4 Li 2.43-2.63, 3 Fe 2.45-2.59, 2 Co 2.46-2.62
Fe (0.7461, 0.0122, 0.1910)  3 Co 2.42-2.52, 3 Fe 2.43-2.46, 2 Li 2.45-2.48
Co (0.2494, 0.0199, 0.6932)  3 Fe 2.38-2.52, 3 Co 2.43-2.44, 2 Li 2.44-2.46

Entry 2:
BaBeHg2: optimized geometry, PBE.

Computed properties:
- DFT formation energy (eV/atom) = 0.02

Cell lengths 3.9792, 4.1318, 6.9622 Å; angles 74.18, 90.00, 90.00 degrees
With the nearest neighbours (Å) after each atom.
Atoms (fractional coordinates):
Ba (0.5000, 0.2500, 0.2500)  2 Be 3.53, 8 Hg 3.56-3.59
Be (0.5000, 0.7500, 0.7500)  4 Hg 2.53
Hg (0.0000, 0.9028, 0.9314)  2 Be 2.53
Hg (0.0000, 0.5972, 0.5686)  2 Be 2.53

Entry 3:
LiAc2Hg8: optimized geometry, PBE.

Computed properties:
- DFT formation energy (eV/atom) = -0.34

Cell lengths 5.1966, 7.3602, 8.9004 Å; angles 113.84, 106.97, 90.00 degrees
With the nearest neighbours (Å) after each atom.
Atoms (fractional coordinates):
Hg (0.8484, 0.8487, 0.6969)  6 Hg 3.12-3.39, 2 Ac 3.38, 2 Li 3.50
Hg (0.3844, 0.5979, 0.7687)  1 Li 2.78
Hg (0.0010, 0.7189, 0.0020)  7 Hg 3.12-3.21, 2 Li 3.33
Hg (0.3801, 0.1624, 0.7601)  1 Li 2.77
Hg (0.6156, 0.4021, 0.2313)  1 Li 2.78
Ac (0.2079, 0.7050, 0.4158)  10 Hg 3.34-3.61
Hg (0.1516, 0.1513, 0.3031)  6 Hg 3.12-3.39, 2 Ac 3.38, 2 Li 3.50
Hg (0.6199, 0.8376, 0.2399)  1 Li 2.77
Li (0.5000, 0.0000, 0.0000)  4 Hg 2.77-2.78
Hg (0.9990, 0.2811, 0.9980)  7 Hg 3.12-3.21, 2 Li 3.33
Ac (0.7921, 0.2950, 0.5842)  10 Hg 3.34-3.61

Entry 4:
K2SmSO6: optimized geometry, PBE.

Cell lengths 5.7580, 6.1808, 6.1808 Å; angles 120.00, 90.00, 90.00 degrees
With the nearest neighbours (Å) after each atom.
Atoms (fractional coordinates):
O (0.1718, 0.2575, 0.1287)  1 S 1.70
Sm (0.5000, 0.0000, 0.0000)  6 O 2.34
K (0.9074, 0.6667, 0.3333)  3 O 2.67
O (0.1718, 0.8713, 0.7425)  1 S 1.70
K (0.0926, 0.3333, 0.6667)  3 O 2.67
O (0.8282, 0.7425, 0.8713)  1 S 1.70
O (0.8282, 0.1287, 0.2575)  1 S 1.70
S (0.0000, 0.0000, 0.0000)  6 O 1.70
O (0.1718, 0.8713, 0.1287)  1 S 1.70
O (0.8282, 0.1287, 0.8713)  1 S 1.70

Number 1: electronic total energy -5.6979 eV/atom. Number 2: electronic total energy -1.5410 eV/atom. Number 3: electronic total energy -1.4843 eV/atom. Number 4: electronic total energy -5.6614 eV/atom.